This record from the Alexandria database describes crystalline CrCo2WO8 at its relaxed geometry. The functional is PBE with a Hubbard U.

Output
Raw total energy   -6.518 eV/atom
N(E_F)   0.484 states/eV per atom
V   131.49 Å³/f.u.
M_tot   6.0 μB per formula unit

Unit cell a=6.3727 b=6.3727 c=6.4755 alpha=90.00 beta=90.00 gamma=90.00
Space group I-4m2 (No. 119)
Symmetry-distinct sites (fractional):
Cr (0.0000, 0.0000, 0.0000) (multiplicity 2)
Co (0.0000, 0.0000, 0.5000) (multiplicity 2)
Co (0.0000, 0.5000, 0.2500) (multiplicity 2)
W (0.0000, 0.5000, 0.7500) (multiplicity 2)
O (0.0000, 0.1919, 0.7031) (multiplicity 8)
O (0.0000, 0.3179, 0.0292) (multiplicity 8)